# PBE Sc4Ti2Ga, optimized geometry
data_Sc4Ti2Ga
_space_group_name_H-M_alt 'I 4/m m m'
_space_group_IT_number 139
_space_group_name_Hall '-I 4 2'
_cell_length_a 5.150
_cell_length_b 5.150
_cell_length_c 13.516
_cell_angle_alpha 90.00
_cell_angle_beta 90.00
_cell_angle_gamma 90.00
loop_
_atom_site_label
_atom_site_type_symbol
_atom_site_fract_x
_atom_site_fract_y
_atom_site_fract_z
Sc1 Sc 0.000 0.000 0.196
Sc2 Sc 0.000 0.500 0.000
Ti1 Ti 0.000 0.000 0.406
Ga1 Ga 0.000 0.000 0.000
# - ΔE_f (kJ/mol of atoms) = 54.2
# - spin magnetization (μB/atom) = 0.48